Run 1
First-principles (PBE-GGA) data for BeInW after structural relaxation, as listed in the Alexandria database.

V (Å³/cell): 197

a = 5.815 Å, b = 5.815 Å, c = 5.815 Å
α = 90.00°, β = 90.00°, γ = 90.00°
Sites, in units of the cell vectors:
Be 0.000 0.000 0.000
Be 0.000 0.500 0.500
Be 0.500 0.000 0.500
Be 0.500 0.500 0.000
In 0.250 0.250 0.750
In 0.250 0.750 0.250
In 0.750 0.250 0.250
In 0.750 0.750 0.750
W 0.250 0.250 0.250
W 0.250 0.750 0.750
W 0.750 0.250 0.750
W 0.750 0.750 0.250

=====

Run 2
First-principles (PBE-GGA) data for BeInW after structural relaxation, as listed in the Alexandria database.

V (Å³/cell): 236

a = 6.182 Å, b = 6.182 Å, c = 6.182 Å
α = 90.00°, β = 90.00°, γ = 90.00°
Sites, in units of the cell vectors:
Be 0.000 0.000 0.000
Be 0.000 0.500 0.500
Be 0.500 0.000 0.500
Be 0.500 0.500 0.000
In 0.000 0.000 0.500
In 0.000 0.500 0.000
In 0.500 0.000 0.000
In 0.500 0.500 0.500
W 0.250 0.250 0.750
W 0.250 0.750 0.250
W 0.750 0.250 0.250
W 0.750 0.750 0.750

=====

Name the least stable of them. run 2.

=====

Run 1
First-principles (PBE-GGA) data for BeInW after structural relaxation, as listed in the Alexandria database.

V (Å³/cell): 97

a = 2.793 Å, b = 2.793 Å, c = 12.421 Å
α = 90.00°, β = 90.00°, γ = 90.00°
Sites, in units of the cell vectors:
Be 0.000 0.000 0.000
Be 0.500 0.500 0.500
In 0.000 0.000 0.677
In 0.500 0.500 0.177
W 0.000 0.000 0.368
W 0.500 0.500 0.868

=====

Run 2
First-principles (PBE-GGA) data for BeInW after structural relaxation, as listed in the Alexandria database.

V (Å³/cell): 47

a = 4.404 Å, b = 4.404 Å, c = 2.780 Å
α = 90.00°, β = 90.00°, γ = 120.00°
Sites, in units of the cell vectors:
Be 0.000 0.000 0.000
In 0.667 0.333 0.006
W 0.333 0.667 0.505

=====

Name the least stable of them. run 2.

=====

Run 1
First-principles (PBE-GGA) data for Be2Zn2In after structural relaxation, as listed in the Alexandria database.

V (Å³/cell): 148

a = 7.442 Å, b = 7.442 Å, c = 2.670 Å
α = 90.00°, β = 90.00°, γ = 90.00°
Sites, in units of the cell vectors:
Be 0.172 0.328 0.000
Be 0.328 0.828 0.000
Be 0.672 0.172 0.000
Be 0.828 0.672 0.000
Zn 0.125 0.625 0.500
Zn 0.375 0.125 0.500
Zn 0.625 0.875 0.500
Zn 0.875 0.375 0.500
In 0.000 0.000 0.500
In 0.500 0.500 0.500

=====

Run 2
First-principles (PBE-GGA) data for Be2Zn2In after structural relaxation, as listed in the Alexandria database.

V (Å³/cell): 151

a = 3.586 Å, b = 3.586 Å, c = 11.773 Å
α = 90.00°, β = 90.00°, γ = 90.00°
Sites, in units of the cell vectors:
Be 0.000 0.500 0.250
Be 0.000 0.500 0.750
Be 0.500 0.000 0.250
Be 0.500 0.000 0.750
Zn 0.000 0.000 0.115
Zn 0.000 0.000 0.885
Zn 0.500 0.500 0.385
Zn 0.500 0.500 0.615
In 0.000 0.000 0.500
In 0.500 0.500 0.000

=====

Name the least stable of them. run 1.

=====

Run 1
First-principles (PBE-GGA) data for Be2ZnIn after structural relaxation, as listed in the Alexandria database.

V (Å³/cell): 230

a = 6.126 Å, b = 6.126 Å, c = 6.126 Å
α = 90.00°, β = 90.00°, γ = 90.00°
Sites, in units of the cell vectors:
Be 0.250 0.250 0.250
Be 0.250 0.250 0.750
Be 0.250 0.750 0.250
Be 0.250 0.750 0.750
Be 0.750 0.250 0.250
Be 0.750 0.250 0.750
Be 0.750 0.750 0.250
Be 0.750 0.750 0.750
Zn 0.000 0.000 0.000
Zn 0.000 0.500 0.500
Zn 0.500 0.000 0.500
Zn 0.500 0.500 0.000
In 0.000 0.000 0.500
In 0.000 0.500 0.000
In 0.500 0.000 0.000
In 0.500 0.500 0.500

=====

Run 2
First-principles (PBE-GGA) data for Be2ZnIn after structural relaxation, as listed in the Alexandria database.

V (Å³/cell): 179

a = 2.950 Å, b = 2.950 Å, c = 23.729 Å
α = 90.00°, β = 90.00°, γ = 120.00°
Sites, in units of the cell vectors:
Be 0.000 0.000 0.242
Be 0.000 0.000 0.758
Be 0.333 0.667 0.425
Be 0.333 0.667 0.908
Be 0.667 0.333 0.092
Be 0.667 0.333 0.575
Zn 0.000 0.000 0.500
Zn 0.333 0.667 0.167
Zn 0.667 0.333 0.833
In 0.000 0.000 0.000
In 0.333 0.667 0.667
In 0.667 0.333 0.333

=====

Run 3
First-principles (PBE-GGA) data for Be2ZnIn after structural relaxation, as listed in the Alexandria database.

V (Å³/cell): 58

a = 3.914 Å, b = 3.914 Å, c = 3.759 Å
α = 90.00°, β = 90.00°, γ = 90.00°
Sites, in units of the cell vectors:
Be 0.000 0.500 0.000
Be 0.500 0.000 0.000
Zn 0.000 0.000 0.500
In 0.500 0.500 0.500

=====

Run 4
First-principles (PBE-GGA) data for Be2ZnIn after structural relaxation, as listed in the Alexandria database.

V (Å³/cell): 59

a = 2.812 Å, b = 2.812 Å, c = 7.469 Å
α = 90.00°, β = 90.00°, γ = 90.00°
Sites, in units of the cell vectors:
Be 0.000 0.000 0.000
Be 0.500 0.500 0.158
Zn 0.500 0.500 0.790
In 0.000 0.000 0.451

=====

Name the least stable of them. run 1.